Computed, not measured: a geometry-optimized YCuPtO4 structure at the PBE level of DFT.

Computed properties:
Theoretical density, kg/m³: 6748
Energy relative to the elements, uncorrected, eV/atom: -1.470
Space group: Imma

Geometry as extended XYZ:
```
14
Lattice="-3.212 3.622 4.354 3.212 -3.622 4.354 3.212 3.622 -4.354" Properties=species:S:1:pos:R:3 pbc="T T T"
Y 0.000 0.000 0.000
Y 0.000 3.622 0.000
Cu 3.212 1.811 0.401
Cu 0.000 1.811 3.953
Pt 1.606 1.811 -2.177
Pt 1.606 -1.811 2.177
O 3.212 -0.485 2.110
O 3.212 3.136 -2.110
O 1.411 1.811 -0.067
O 1.800 -1.811 4.287
O 1.411 5.433 0.067
O 1.800 1.811 4.420
O 0.000 0.485 6.464
O 0.000 4.107 2.243
```